[1]
Ac2HfP3Pt12 | PBE | optimized geometry

Results
- Crystal system: trigonal
- Energy relative to the elements: -0.521 eV per atom
- Magnetic moment: 0.000 μB/f.u.

Cell: 8.2544 8.2544 19.2002 Å, 90.00 90.00 120.00°
With the nearest neighbours (Å) after each atom.
Space group R-3m (No. 166, hexagonal axes)
Asymmetric unit:
Ac  0.0000  0.0000  0.1076  6 Pt 3.08-3.11
Hf  0.0000  0.0000  0.5000  6 Pt 2.58
P  0.0000  0.5000  0.0000  6 Pt 2.30-2.33
Pt  0.0068  0.5034  0.8788  1 P 2.33, 1 Hf 2.58
Pt  0.0420  0.5210  0.3592  2 P 2.30

***

[2]
MgAlAg2 | PBE | optimized geometry

Results
- Crystal system: monoclinic
- Relative energy among the computed polymorphs: 0.050 eV/atom
- Energy relative to the elements: -0.122 eV per atom
- Magnetic moment: 0.000 μB/f.u.

Cell: 9.7401 3.4943 4.4697 Å, 90.00 112.09 90.00°
With the nearest neighbours (Å) after each atom.
Space group Cm (No. 8)
Asymmetric unit:
Mg  0.0000  0.0000  0.0000  7 Ag 2.81-2.90, 4 Al 2.97-3.11
Al  0.2619  0.5000  0.3073  7 Ag 2.74-2.99, 2 Mg 2.97
Ag  0.2488  0.0000  0.7936  4 Al 2.83-2.85, 3 Mg 2.86-2.90, 3 Ag 2.90-3.14
Ag  0.4962  0.0000  0.4898  3 Al 2.74-2.99, 4 Mg 2.81-2.86, 2 Ag 2.90

***

[3]
AcSm2PO8 | PBE | optimized geometry

Results
- Formation energy from raw total energies: -2531.2 meV per atom
- Crystal system: trigonal
- Magnetic moment: 2.029 μB/f.u.

Cell: 5.1374 5.1374 6.8976 Å, 90.00 90.00 120.00°
With the nearest neighbours (Å) after each atom.
Space group P-3m1 (No. 164)
Asymmetric unit:
Ac  0.0000  0.0000  0.0000  12 O 2.81-2.99
Sm  0.3333  0.6667  0.3685  1 O 2.18
P  0.0000  0.0000  0.5000  6 O 1.70
O  0.1550  0.3099  0.6452  1 P 1.70
O  0.3333  0.6667  0.0520  1 Sm 2.18

***

[4]
PmDy3As4 | PBE | optimized geometry

Results
- Crystal system: orthorhombic
- Energy relative to the elements: -1.530 eV per atom
- Magnetic moment: 0.000 μB/f.u.

Cell: 8.2970 11.7338 4.1514 Å, 90.00 90.00 90.00°
With the nearest neighbours (Å) after each atom.
Space group Cmmm (No. 65)
Asymmetric unit:
Pm  0.0000  0.0000  0.0000  6 As 2.96
Dy  0.0000  0.5000  0.0000  6 As 2.91
Dy  0.2500  0.2500  0.5000  6 As 2.93
As  0.0000  0.2524  0.0000  5 Dy 2.91-2.93, 1 Pm 2.96
As  0.2450  0.5000  0.5000  4 Dy 2.91-2.93, 2 Pm 2.96

***

[5]
LiGa2CuGe | PBE | optimized geometry

Results
- Crystal system: tetragonal
- Energy relative to the elements: 0.466 eV per atom
- Magnetic moment: 0.000 μB/f.u.

Cell: 4.8932 4.8932 4.7263 Å, 90.00 90.00 90.00°
With the nearest neighbours (Å) after each atom.
Space group P4/mmm (No. 123)
Asymmetric unit:
Li  0.0000  0.0000  0.0000  2 Ge 2.36
Ga  0.0000  0.5000  0.5000  2 Ge 2.45
Cu  0.5000  0.5000  0.0000  8 Ga 3.40, 4 Li 3.46
Ge  0.0000  0.0000  0.5000  2 Li 2.36, 4 Ga 2.45

***

[6]
Ce5Bi2Te2 | PBE | optimized geometry

Results
- Formation energy from raw total energies: -898.3 meV per atom
- Crystal system: orthorhombic
- Relative energy among the computed polymorphs: 0.000 eV/atom
- Magnetic moment: 7.064 μB/f.u.

Cell: 16.0138 8.3892 8.4516 Å, 90.00 90.00 90.00°
With the nearest neighbours (Å) after each atom.
Space group Cmce (No. 64)
Asymmetric unit:
Ce  0.0000  0.0000  0.0000  2 Te 3.15, 4 Bi 3.23-3.24
Ce  0.1406  0.1603  0.3418  3 Te 3.22-3.31, 3 Bi 3.25-3.41
Bi  0.0000  0.1434  0.6440  8 Ce 3.23-3.41, 1 Bi 3.42
Te  0.1970  0.0000  0.0000  7 Ce 3.15-3.31

***

[7]
Ir2OsRu | PBE | optimized geometry

Results
- Crystal system: monoclinic
- Relative energy among the computed polymorphs: 1.041 eV/atom
- Energy relative to the elements: 1.046 eV per atom
- Magnetic moment: 0.000 μB/f.u.

Cell: 6.7789 3.9196 6.7911 Å, 90.00 109.28 90.00°
With the nearest neighbours (Å) after each atom.
Space group Cm (No. 8)
Asymmetric unit:
Ir  0.0000  0.0000  0.0000  1 Ru 2.40, 3 Os 2.40-2.41
Ir  0.0007  0.5000  0.5018  3 Ru 2.39-2.40, 1 Os 2.40
Os  0.3756  0.0000  0.1279  4 Ir 2.40-2.41
Ru  0.3749  0.5000  0.6255  4 Ir 2.39-2.40

***

[8]
KLaTiS4 | PBE | optimized geometry

Results
- Formation energy from raw total energies: -1659.0 meV per atom
- Crystal system: monoclinic
- Magnetic moment: 0.000 μB/f.u.

Cell: 6.9132 6.7308 8.8624 Å, 90.00 107.29 90.00°
With the nearest neighbours (Å) after each atom.
Space group P2_1/m (No. 11)
Asymmetric unit:
K  0.2191  0.2500  0.4326  8 S 3.25-3.58
La  0.2739  0.2500  0.9466  6 S 2.90-2.98
Ti  0.2753  0.7500  0.1823  4 S 2.24-2.27
S  0.0700  0.7500  0.3373  1 Ti 2.25
S  0.0808  0.7500  0.9302  1 Ti 2.24
S  0.4978  0.0057  0.2166  1 Ti 2.27

***

[9]
CaCd2In5 | PBE | optimized geometry

Results
- Crystal system: orthorhombic
- Energy relative to the elements: -0.074 eV per atom
- Magnetic moment: 0.000 μB/f.u.

Cell: 4.4573 9.0156 10.9741 Å, 90.00 90.00 90.00°
With the nearest neighbours (Å) after each atom.
Space group Immm (No. 71)
Asymmetric unit:
Ca  0.0000  0.0000  0.0000  4 Cd 3.33
Cd  0.0000  0.5000  0.2744  7 In 2.91-3.18
In  0.0000  0.1935  0.3576  3 Cd 2.91-3.18, 3 In 3.12-3.23
In  0.0000  0.5000  0.0000  2 Cd 3.01, 8 In 3.23